A) ## MgNbI2N (PBE)

Data for MgNbI2N after structural relaxation.

Cell: 5.7595 5.7595 3.9552 Å, 90.00 90.00 90.00°
Space group P4/mmm (No. 123)
One atom of each set of equivalent atoms:
Mg 0.0000 0.0000 0.0000 [1 per cell]
Nb 0.5000 0.5000 0.5000 [1 per cell]
I 0.0000 0.5000 0.5000 [2 per cell]
N 0.5000 0.5000 0.0000 [1 per cell]


B) ## MgNbI2N (PBE)

Data for MgNbI2N after structural relaxation.

Cell: 5.6322 5.6322 3.8664 Å, 90.00 90.00 90.00°
Space group P4/mmm (No. 123)
One atom of each set of equivalent atoms:
Mg 0.0000 0.0000 0.0000 [1 per cell]
Nb 0.5000 0.5000 0.5000 [1 per cell]
I 0.0000 0.5000 0.0000 [2 per cell]
N 0.0000 0.0000 0.5000 [1 per cell]


Winner for stability: A)


A) ## MgOsI2N (PBE)

Data for MgOsI2N after structural relaxation.

Cell: 5.6971 5.6971 3.9574 Å, 90.00 90.00 90.00°
Space group P4/mmm (No. 123)
One atom of each set of equivalent atoms:
Mg 0.0000 0.0000 0.0000 [1 per cell]
Os 0.5000 0.5000 0.5000 [1 per cell]
I 0.0000 0.5000 0.0000 [2 per cell]
N 0.0000 0.0000 0.5000 [1 per cell]


B) ## MgOsI2N (PBE)

Data for MgOsI2N after structural relaxation.

Cell: 5.6178 5.6178 3.7585 Å, 90.00 90.00 90.00°
Space group P4/mmm (No. 123)
One atom of each set of equivalent atoms:
Mg 0.0000 0.0000 0.0000 [1 per cell]
Os 0.5000 0.5000 0.5000 [1 per cell]
I 0.0000 0.5000 0.5000 [2 per cell]
N 0.5000 0.5000 0.0000 [1 per cell]


Winner for stability: B)


A) ## MgPIN2 (PBE)

Data for MgPIN2 after structural relaxation.

Cell: 4.2105 4.2105 6.0904 Å, 90.00 90.00 90.00°
Space group P4/mmm (No. 123)
One atom of each set of equivalent atoms:
Mg 0.0000 0.0000 0.0000 [1 per cell]
P 0.5000 0.5000 0.5000 [1 per cell]
I 0.0000 0.0000 0.5000 [1 per cell]
N 0.0000 0.5000 0.0000 [2 per cell]


B) ## MgPIN2 (PBE)

Data for MgPIN2 after structural relaxation.

Cell: 3.6942 3.6942 6.4523 Å, 90.00 90.00 90.00°
Space group P4/mmm (No. 123)
One atom of each set of equivalent atoms:
Mg 0.0000 0.0000 0.0000 [1 per cell]
P 0.5000 0.5000 0.5000 [1 per cell]
I 0.5000 0.5000 0.0000 [1 per cell]
N 0.0000 0.5000 0.5000 [2 per cell]


Winner for stability: B)